# 1
Below is crystalline InIr2Pb at its relaxed geometry, with properties calculated at the PBE level.

Output
Raw total energy (eV/atom): -5.717
E_form (eV per formula unit): 1.30
Crystal system: cubic
Distance to the lowest polymorph of the same formula (meV/atom): 62.2

Cell and atoms, written as CIF:
```
data_InIr2Pb
_chemical_formula_sum 'In4 Ir8 Pb4'
_space_group_name_H-M_alt 'F m -3 m'
_space_group_IT_number 225
_space_group_name_Hall '-F 4 2 3'
_cell_length_a 6.655
_cell_length_b 6.655
_cell_length_c 6.655
_cell_angle_alpha 90.00
_cell_angle_beta 90.00
_cell_angle_gamma 90.00
loop_
_atom_site_label
_atom_site_type_symbol
_atom_site_fract_x
_atom_site_fract_y
_atom_site_fract_z
In1 In 0.000 0.000 0.000
Ir1 Ir 0.250 0.250 0.250
Pb1 Pb 0.000 0.000 0.500
```



# 2
Below is crystalline InIr2Pb at its relaxed geometry, with properties calculated at the PBE level.

Output
Raw total energy (eV/atom): -5.626
E_form (eV per formula unit): 1.66
Crystal system: tetragonal
Distance to the lowest polymorph of the same formula (meV/atom): 153.3

Cell and atoms, written as CIF:
```
data_InIr2Pb
_chemical_formula_sum 'In2 Ir4 Pb2'
_space_group_name_H-M_alt 'I -4 m 2'
_space_group_IT_number 119
_space_group_name_Hall 'I -4 -2'
_cell_length_a 3.964
_cell_length_b 3.964
_cell_length_c 9.453
_cell_angle_alpha 90.00
_cell_angle_beta 90.00
_cell_angle_gamma 90.00
loop_
_atom_site_label
_atom_site_type_symbol
_atom_site_fract_x
_atom_site_fract_y
_atom_site_fract_z
In1 In 0.000 0.000 0.000
Ir1 Ir 0.000 0.000 0.500
Ir2 Ir 0.000 0.500 0.750
Pb1 Pb 0.000 0.500 0.250
```



# 3
Below is crystalline RbIn2IrPb at its relaxed geometry, with properties calculated at the PBE level.

Output
Raw total energy (eV/atom): -3.790
E_form (eV per formula unit): 0.06
Crystal system: tetragonal

Cell and atoms, written as CIF:
```
data_RbIn2IrPb
_chemical_formula_sum 'Rb1 In2 Ir1 Pb1'
_space_group_name_H-M_alt 'P 4/m m m'
_space_group_IT_number 123
_space_group_name_Hall '-P 4 2'
_cell_length_a 5.271
_cell_length_b 5.271
_cell_length_c 5.550
_cell_angle_alpha 90.00
_cell_angle_beta 90.00
_cell_angle_gamma 90.00
loop_
_atom_site_label
_atom_site_type_symbol
_atom_site_fract_x
_atom_site_fract_y
_atom_site_fract_z
Rb1 Rb 0.000 0.000 0.000
In1 In 0.000 0.500 0.500
Ir1 Ir 0.500 0.500 0.500
Pb1 Pb 0.500 0.500 0.000
```



# 4
Below is crystalline InIr2PbS at its relaxed geometry, with properties calculated at the PBE level.

Output
Raw total energy (eV/atom): -3.949
E_form (uncorrected) (eV/atom): 1.7102
Crystal system: tetragonal

Cell and atoms, written as CIF:
```
data_InIr2PbS
_chemical_formula_sum 'In1 Ir2 Pb1 S1'
_space_group_name_H-M_alt 'P 4/m m m'
_space_group_IT_number 123
_space_group_name_Hall '-P 4 2'
_cell_length_a 4.925
_cell_length_b 4.925
_cell_length_c 5.784
_cell_angle_alpha 90.00
_cell_angle_beta 90.00
_cell_angle_gamma 90.00
loop_
_atom_site_label
_atom_site_type_symbol
_atom_site_fract_x
_atom_site_fract_y
_atom_site_fract_z
In1 In 0.000 0.000 0.000
Ir1 Ir 0.000 0.500 0.000
Pb1 Pb 0.000 0.000 0.500
S1 S 0.500 0.500 0.500
```



# 5
Below is crystalline ScIn2IrPb at its relaxed geometry, with properties calculated at the PBE level.

Output
Raw total energy (eV/atom): -3.868
E_form (eV per formula unit): 5.04
Crystal system: tetragonal

Cell and atoms, written as CIF:
```
data_ScIn2IrPb
_chemical_formula_sum 'Sc1 In2 Ir1 Pb1'
_space_group_name_H-M_alt 'P 4/m m m'
_space_group_IT_number 123
_space_group_name_Hall '-P 4 2'
_cell_length_a 5.551
_cell_length_b 5.551
_cell_length_c 5.030
_cell_angle_alpha 90.00
_cell_angle_beta 90.00
_cell_angle_gamma 90.00
loop_
_atom_site_label
_atom_site_type_symbol
_atom_site_fract_x
_atom_site_fract_y
_atom_site_fract_z
Sc1 Sc 0.000 0.000 0.000
In1 In 0.000 0.500 0.500
Ir1 Ir 0.500 0.500 0.000
Pb1 Pb 0.500 0.500 0.500
```



# 6
Below is crystalline InSnIrPb2 at its relaxed geometry, with properties calculated at the PBE level.

Output
Raw total energy (eV/atom): -3.213
E_form (eV per formula unit): 6.95
Crystal system: tetragonal

Cell and atoms, written as CIF:
```
data_InSnIrPb2
_chemical_formula_sum 'In1 Sn1 Ir1 Pb2'
_space_group_name_H-M_alt 'P 4/m m m'
_space_group_IT_number 123
_space_group_name_Hall '-P 4 2'
_cell_length_a 5.667
_cell_length_b 5.667
_cell_length_c 5.408
_cell_angle_alpha 90.00
_cell_angle_beta 90.00
_cell_angle_gamma 90.00
loop_
_atom_site_label
_atom_site_type_symbol
_atom_site_fract_x
_atom_site_fract_y
_atom_site_fract_z
In1 In 0.000 0.000 0.000
Sn1 Sn 0.000 0.000 0.500
Ir1 Ir 0.500 0.500 0.000
Pb1 Pb 0.000 0.500 0.500
```



# 7
Below is crystalline InTeIrPb2 at its relaxed geometry, with properties calculated at the PBE level.

Output
Raw total energy (eV/atom): -4.510
E_form (uncorrected) (eV/atom): -0.0787
Crystal system: tetragonal

Cell and atoms, written as CIF:
```
data_InTeIrPb2
_chemical_formula_sum 'In1 Te1 Ir1 Pb2'
_space_group_name_H-M_alt 'P 4/m m m'
_space_group_IT_number 123
_space_group_name_Hall '-P 4 2'
_cell_length_a 5.324
_cell_length_b 5.324
_cell_length_c 5.222
_cell_angle_alpha 90.00
_cell_angle_beta 90.00
_cell_angle_gamma 90.00
loop_
_atom_site_label
_atom_site_type_symbol
_atom_site_fract_x
_atom_site_fract_y
_atom_site_fract_z
In1 In 0.000 0.000 0.000
Te1 Te 0.500 0.500 0.000
Ir1 Ir 0.000 0.000 0.500
Pb1 Pb 0.000 0.500 0.500
```



# 8
Below is crystalline TlIn2IrPb at its relaxed geometry, with properties calculated at the PBE level.

Output
Raw total energy (eV/atom): -4.017
E_form (eV per formula unit): 0.33
Crystal system: tetragonal

Cell and atoms, written as CIF:
```
data_TlIn2IrPb
_chemical_formula_sum 'Tl1 In2 Ir1 Pb1'
_space_group_name_H-M_alt 'P 4/m m m'
_space_group_IT_number 123
_space_group_name_Hall '-P 4 2'
_cell_length_a 5.236
_cell_length_b 5.236
_cell_length_c 5.291
_cell_angle_alpha 90.00
_cell_angle_beta 90.00
_cell_angle_gamma 90.00
loop_
_atom_site_label
_atom_site_type_symbol
_atom_site_fract_x
_atom_site_fract_y
_atom_site_fract_z
Tl1 Tl 0.000 0.000 0.000
In1 In 0.000 0.500 0.500
Ir1 Ir 0.500 0.500 0.500
Pb1 Pb 0.500 0.500 0.000
```



# 9
Below is crystalline YIn2IrPb at its relaxed geometry, with properties calculated at the PBE level.

Output
Raw total energy (eV/atom): -5.126
E_form (eV per formula unit): -1.12
Crystal system: tetragonal

Cell and atoms, written as CIF:
```
data_YIn2IrPb
_chemical_formula_sum 'Y1 In2 Ir1 Pb1'
_space_group_name_H-M_alt 'P 4/m m m'
_space_group_IT_number 123
_space_group_name_Hall '-P 4 2'
_cell_length_a 5.172
_cell_length_b 5.172
_cell_length_c 5.335
_cell_angle_alpha 90.00
_cell_angle_beta 90.00
_cell_angle_gamma 90.00
loop_
_atom_site_label
_atom_site_type_symbol
_atom_site_fract_x
_atom_site_fract_y
_atom_site_fract_z
Y1 Y 0.000 0.000 0.000
In1 In 0.000 0.500 0.500
Ir1 Ir 0.000 0.000 0.500
Pb1 Pb 0.500 0.500 0.000
```



# 10
Below is crystalline In8Ir3Pd2 at its relaxed geometry, with properties calculated at the PBE level.

Output
Raw total energy (eV/atom): -4.779
E_form (eV per formula unit): -3.25
Crystal system: monoclinic

Cell and atoms, written as CIF:
```
data_In8Ir3Pd2
_chemical_formula_sum 'In8 Ir3 Pd2'
_space_group_name_H-M_alt 'P 1 2/m 1'
_space_group_IT_number 10
_cell_length_a 7.864
_cell_length_b 4.577
_cell_length_c 7.878
_cell_angle_alpha 90.00
_cell_angle_beta 109.34
_cell_angle_gamma 90.00
loop_
_space_group_symop_operation_xyz
'x,y,z'
'-x,-y,-z'
'-x,y,-z'
'x,-y,z'
loop_
_atom_site_label
_atom_site_type_symbol
_atom_site_fract_x
_atom_site_fract_y
_atom_site_fract_z
In1 In 0.117 0.000 0.362
In2 In 0.119 0.500 0.881
In3 In 0.362 0.000 0.117
In4 In 0.369 0.500 0.630
Ir1 Ir 0.258 0.500 0.258
Ir2 Ir 0.500 0.000 0.500
Pd1 Pd 0.254 0.000 0.747
```



# 11
Below is crystalline In2Ir2Pd at its relaxed geometry, with properties calculated at the PBE level.

Output
Raw total energy (eV/atom): -5.656
E_form (eV per formula unit): 0.11
Crystal system: tetragonal
Distance to the lowest polymorph of the same formula (meV/atom): 0.0

Cell and atoms, written as CIF:
```
data_In2Ir2Pd
_chemical_formula_sum 'In4 Ir4 Pd2'
_space_group_name_H-M_alt 'P 4/m b m'
_space_group_IT_number 127
_space_group_name_Hall '-P 4 2ab'
_cell_length_a 7.590
_cell_length_b 7.590
_cell_length_c 3.115
_cell_angle_alpha 90.00
_cell_angle_beta 90.00
_cell_angle_gamma 90.00
loop_
_atom_site_label
_atom_site_type_symbol
_atom_site_fract_x
_atom_site_fract_y
_atom_site_fract_z
In1 In 0.172 0.328 0.000
Ir1 Ir 0.127 0.627 0.500
Pd1 Pd 0.000 0.000 0.500
```



# 12
Below is crystalline In3IrPd2 at its relaxed geometry, with properties calculated at the PBE level.

Output
Raw total energy (eV/atom): -4.904
E_form (eV per formula unit): -1.96
Crystal system: orthorhombic

Cell and atoms, written as CIF:
```
data_In3IrPd2
_chemical_formula_sum 'In12 Ir4 Pd8'
_space_group_name_H-M_alt 'C m m m'
_space_group_IT_number 65
_space_group_name_Hall '-C 2 2'
_cell_length_a 4.575
_cell_length_b 13.760
_cell_length_c 6.754
_cell_angle_alpha 90.00
_cell_angle_beta 90.00
_cell_angle_gamma 90.00
loop_
_atom_site_label
_atom_site_type_symbol
_atom_site_fract_x
_atom_site_fract_y
_atom_site_fract_z
In1 In 0.000 0.000 0.247
In2 In 0.000 0.332 0.247
Ir1 Ir 0.000 0.165 0.000
Pd1 Pd 0.000 0.165 0.500
Pd2 Pd 0.000 0.500 0.000
Pd3 Pd 0.000 0.500 0.500
```



- Among the records above, which one has the highest raw total energy?
  InSnIrPb2



- Which of these has the lowest raw total energy?
  number 1



- Look up the raw total energy of the eighth one.
  -4.017 eV/atom